[1]
Compound: Tb2PrSe4
Source: Alexandria
Functional: PBE-GGA
Structure: optimized geometry

Total energy (eV/atom): -5.858
D(E_F) (states/eV/atom): 0.33
Polymorph energy (0 for the lowest one) (meV/atom): 12
Formation energy from raw total energies (eV per atom): -1.8614

a = 4.061 Å, b = 12.657 Å, c = 14.835 Å
α = 90.00°, β = 90.00°, γ = 90.00°
Fractional positions:
Se  0.750  0.371  0.044
Se  0.750  0.301  0.320
Se  0.750  0.871  0.456
Se  0.250  0.199  0.820
Se  0.250  0.129  0.544
Se  0.250  0.401  0.577
Se  0.750  0.599  0.423
Se  0.750  0.099  0.077
Se  0.250  0.542  0.216
Se  0.750  0.801  0.180
Se  0.250  0.042  0.284
Se  0.750  0.958  0.716
Se  0.250  0.901  0.923
Se  0.750  0.458  0.784
Se  0.250  0.699  0.680
Se  0.250  0.629  0.956
Tb  0.250  0.441  0.387
Tb  0.750  0.559  0.613
Tb  0.250  0.941  0.113
Tb  0.750  0.095  0.408
Tb  0.750  0.595  0.092
Tb  0.750  0.059  0.887
Tb  0.250  0.905  0.592
Tb  0.250  0.405  0.908
Pr  0.250  0.751  0.329
Pr  0.250  0.251  0.171
Pr  0.750  0.249  0.671
Pr  0.750  0.749  0.829



[2]
Compound: TbPrSe3
Source: Alexandria
Functional: PBE-GGA
Structure: optimized geometry

Total energy (eV/atom): -5.872
Polymorph energy (0 for the lowest one) (meV/atom): 0
Formation energy from raw total energies (eV per atom): -1.8994

a = 4.182 Å, b = 7.785 Å, c = 16.205 Å
α = 90.00°, β = 90.00°, γ = 90.00°
Fractional positions:
Tb  0.250  0.270  0.957
Tb  0.250  0.770  0.543
Tb  0.750  0.230  0.457
Tb  0.750  0.730  0.043
Pr  0.750  0.859  0.799
Pr  0.250  0.141  0.201
Pr  0.250  0.641  0.299
Pr  0.750  0.359  0.701
Se  0.250  0.009  0.394
Se  0.250  0.878  0.938
Se  0.750  0.349  0.285
Se  0.250  0.378  0.562
Se  0.750  0.622  0.438
Se  0.250  0.509  0.106
Se  0.250  0.651  0.715
Se  0.750  0.122  0.062
Se  0.750  0.991  0.606
Se  0.750  0.849  0.215
Se  0.750  0.491  0.894
Se  0.250  0.151  0.785



[3]
Compound: Tb4PrSe5
Source: Alexandria
Functional: PBE-GGA
Structure: optimized geometry

Total energy (eV/atom): -5.850
D(E_F) (states/eV/atom): 0.44
Formation energy from raw total energies (eV per atom): -1.7773

a = 4.126 Å, b = 4.126 Å, c = 14.940 Å
α = 97.94°, β = 97.94°, γ = 90.00°
Fractional positions:
Se  0.896  0.896  0.793
Se  0.698  0.698  0.395
Se  0.500  0.500  0.000
Se  0.302  0.302  0.605
Se  0.104  0.104  0.207
Tb  0.796  0.796  0.592
Tb  0.204  0.204  0.408
Tb  0.598  0.598  0.196
Tb  0.402  0.402  0.804
Pr  0.000  0.000  0.000



[4]
Compound: TbPrTe2Se
Source: Alexandria
Functional: PBE-GGA
Structure: optimized geometry

Total energy (eV/atom): -5.265
D(E_F) (states/eV/atom): 0.37
Formation energy from raw total energies (eV per atom): -1.4290

a = 4.388 Å, b = 4.388 Å, c = 15.754 Å
α = 90.00°, β = 90.00°, γ = 90.00°
Fractional positions:
Te  0.000  0.500  0.712
Te  0.500  0.000  0.892
Te  0.000  0.500  0.108
Te  0.500  0.000  0.288
Se  0.500  0.500  0.500
Se  0.000  0.000  0.500
Pr  0.000  0.500  0.367
Pr  0.500  0.000  0.633
Tb  0.500  0.000  0.090
Tb  0.000  0.500  0.910



[5]
Compound: TbPr2Te2Se2
Source: Alexandria
Functional: PBE-GGA
Structure: optimized geometry

Total energy (eV/atom): -5.274
D(E_F) (states/eV/atom): 0.44
Formation energy from raw total energies (eV per atom): -1.3535

a = 5.327 Å, b = 5.327 Å, c = 8.895 Å
α = 107.43°, β = 107.43°, γ = 90.00°
Fractional positions:
Te  0.187  0.187  0.373
Te  0.813  0.813  0.627
Se  0.000  0.500  0.000
Se  0.500  0.000  0.000
Pr  0.618  0.618  0.236
Pr  0.382  0.382  0.764
Tb  0.000  0.000  0.000



[6]
Compound: TbPr2ThSe4
Source: Alexandria
Functional: PBE-GGA
Structure: optimized geometry

Total energy (eV/atom): -6.186
D(E_F) (states/eV/atom): 0.54
Formation energy from raw total energies (eV per atom): -1.7428

a = 4.180 Å, b = 7.323 Å, c = 7.293 Å
α = 109.17°, β = 90.00°, γ = 90.00°
Fractional positions:
Se  0.000  0.753  0.243
Se  0.500  0.759  0.762
Se  0.500  0.241  0.238
Se  0.000  0.247  0.757
Tb  0.000  0.000  0.000
Pr  0.000  0.500  0.500
Pr  0.500  0.000  0.500
Th  0.500  0.500  0.000